This record from Alexandria via LeMat-Bulk describes a relaxed structure of NaCu4Te3. The functional is PBE.

a b c (Å): 4.058 4.058 10.779
angles (deg): 90.00 90.00 90.00
Space group P4/mmm (No. 123)
Symmetry-distinct sites (fractional):
Na (0.000, 0.000, 0.000) [1 per cell]
Cu (0.000, 0.500, 0.334) [4 per cell]
Te (0.000, 0.000, 0.500) [1 per cell]
Te (0.500, 0.500, 0.182) [2 per cell]

## Properties
E_form (uncorrected) = -185 meV per atom

This record from Alexandria via LeMat-Bulk describes a relaxed structure of NaCu2Te2. The functional is PBE.

a b c (Å): 7.767 7.767 3.484
angles (deg): 90.00 90.00 90.00
Space group P4/mbm (No. 127)
Symmetry-distinct sites (fractional):
Na (0.000, 0.000, 0.000) [2 per cell]
Cu (0.114, 0.386, 0.000) [4 per cell]
Te (0.183, 0.683, 0.500) [4 per cell]

## Properties
E_form (uncorrected) = -91 meV per atom

This record from Alexandria via LeMat-Bulk describes a relaxed structure of Na3CuTe3. The functional is PBE.

a b c (Å): 9.304 10.388 8.486
angles (deg): 90.00 98.43 90.00
Space group C2/m (No. 12)
Symmetry-distinct sites (fractional):
Na (0.000, 0.164, 0.000) [4 per cell]
Na (0.000, 0.271, 0.500) [4 per cell]
Na (0.115, 0.500, 0.884) [4 per cell]
Cu (0.113, 0.000, 0.606) [4 per cell]
Te (0.141, 0.000, 0.299) [4 per cell]
Te (0.190, 0.352, 0.234) [8 per cell]

## Properties
E_form (uncorrected) = -554 meV per atom

This record from Alexandria via LeMat-Bulk describes a relaxed structure of Na3CuTe3. The functional is PBE.

a b c (Å): 11.901 4.576 14.154
angles (deg): 90.00 100.19 90.00
Space group C2/m (No. 12)
Symmetry-distinct sites (fractional):
Na (0.050, 0.000, 0.400) [4 per cell]
Na (0.064, 0.000, 0.906) [4 per cell]
Na (0.244, 0.500, 0.787) [4 per cell]
Cu (0.224, 0.500, 0.396) [4 per cell]
Te (0.045, 0.500, 0.245) [4 per cell]
Te (0.157, 0.500, 0.574) [4 per cell]
Te (0.165, 0.500, 0.075) [4 per cell]

## Properties
E_form (uncorrected) = -557 meV per atom

This record from Alexandria via LeMat-Bulk describes a relaxed structure of Na2Cu5Te4. The functional is PBE.

a b c (Å): 5.182 13.803 14.730
angles (deg): 90.00 90.00 90.00
Space group Fmmm (No. 69)
Symmetry-distinct sites (fractional):
Na (0.000, 0.000, 0.154) [8 per cell]
Cu (0.000, 0.000, 0.500) [4 per cell]
Cu (0.250, 0.250, 0.000) [8 per cell]
Cu (0.250, 0.250, 0.250) [8 per cell]
Te (0.000, 0.143, 0.374) [16 per cell]

## Properties
E_form (uncorrected) = -127 meV per atom

This record from Alexandria via LeMat-Bulk describes a relaxed structure of Na3CuTe2. The functional is PBE.

a b c (Å): 7.535 14.221 6.199
angles (deg): 90.00 90.00 90.00
Space group Ibam (No. 72)
Symmetry-distinct sites (fractional):
Na (0.000, 0.000, 0.250) [4 per cell]
Na (0.178, 0.325, 0.000) [8 per cell]
Cu (0.000, 0.500, 0.250) [4 per cell]
Te (0.217, 0.389, 0.500) [8 per cell]

## Properties
E_form (uncorrected) = -654 meV per atom

This record from Alexandria via LeMat-Bulk describes a relaxed structure of NaCu2Te2. The functional is PBE.

a b c (Å): 9.013 11.042 6.798
angles (deg): 90.00 131.40 90.00
Space group C2/c (No. 15)
Symmetry-distinct sites (fractional):
Na (0.000, 0.125, 0.250) [4 per cell]
Cu (0.130, 0.375, 0.009) [8 per cell]
Te (0.000, 0.170, 0.750) [4 per cell]
Te (0.000, 0.420, 0.250) [4 per cell]

## Properties
E_form (uncorrected) = -267 meV per atom

This record from Alexandria via LeMat-Bulk describes a relaxed structure of NaCu3Te3. The functional is PBE.

a b c (Å): 7.288 7.288 7.288
angles (deg): 90.00 90.00 90.00
Space group Pm-3n (No. 223)
Symmetry-distinct sites (fractional):
Na (0.000, 0.000, 0.000) [2 per cell]
Cu (0.000, 0.250, 0.500) [6 per cell]
Te (0.000, 0.500, 0.250) [6 per cell]

## Properties
E_form (uncorrected) = -161 meV per atom

This record from Alexandria via LeMat-Bulk describes a relaxed structure of NaCu2Te2. The functional is PBE.

a b c (Å): 8.004 8.004 3.441
angles (deg): 90.00 90.00 90.00
Space group P4/mbm (No. 127)
Symmetry-distinct sites (fractional):
Na (0.000, 0.000, 0.000) [2 per cell]
Cu (0.115, 0.385, 0.500) [4 per cell]
Te (0.173, 0.673, 0.000) [4 per cell]

## Properties
E_form (uncorrected) = -27 meV per atom